Computed, not measured: a geometry-optimized MnHg4Cl structure at the GGA-PBE level of DFT. Values from VASP.

The structure in Quantum ESPRESSO input format:
```
&SYSTEM
  ibrav = 0, nat = 6, ntyp = 3
/
ATOMIC_SPECIES
Mn 54.94 Mn.upf
Hg 200.59 Hg.upf
Cl 35.45 Cl.upf
ATOMIC_POSITIONS crystal
Mn 0.000 0.000 0.000
Hg 0.375 0.375 0.375
Hg 0.375 0.375 0.875
Hg 0.375 0.875 0.375
Hg 0.875 0.375 0.375
Cl 0.750 0.750 0.750
CELL_PARAMETERS angstrom
0.000 4.283 4.283
4.283 0.000 4.283
4.283 4.283 0.000
```

Computed properties:
Calculated total energy   -1.7690 eV/atom
Space-group type   F-43m (216)

Computed, not measured: a geometry-optimized Ce8Os2Ru structure at the GGA-PBE level of DFT. Values from VASP.

The structure in Quantum ESPRESSO input format:
```
&SYSTEM
  ibrav = 0, nat = 11, ntyp = 3
/
ATOMIC_SPECIES
Ce 140.12 Ce.upf
Os 190.23 Os.upf
Ru 101.07 Ru.upf
ATOMIC_POSITIONS crystal
Ce 0.003 0.003 0.253
Ce 0.221 0.221 0.273
Ce 0.342 0.342 0.021
Ce 0.408 0.408 0.536
Ce 0.592 0.592 0.464
Ce 0.658 0.658 0.979
Ce 0.779 0.779 0.727
Ce 0.997 0.997 0.747
Os 0.166 0.166 0.679
Os 0.834 0.834 0.321
Ru 0.500 0.500 0.000
CELL_PARAMETERS angstrom
8.817 -2.254 0.000
8.817 2.254 0.000
-1.110 0.000 6.527
```

Computed properties:
Space-group type   C2/m (12)
ΔH_f (0 K)   -0.15 eV per atom
Excess energy over the best structure of this formula in the dataset   0.0 meV/atom

Computed, not measured: a geometry-optimized CdRh structure at the GGA-PBE level of DFT. Values from VASP.

The structure in Quantum ESPRESSO input format:
```
&SYSTEM
  ibrav = 0, nat = 4, ntyp = 2
/
ATOMIC_SPECIES
Cd 112.41 Cd.upf
Rh 102.91 Rh.upf
ATOMIC_POSITIONS crystal
Cd 0.250 0.250 0.153
Cd 0.750 0.750 0.847
Rh 0.250 0.250 0.604
Rh 0.750 0.750 0.396
CELL_PARAMETERS angstrom
2.921 0.000 0.000
0.000 2.921 0.000
0.000 0.000 8.166
```

Computed properties:
Space-group type   P4/nmm (129)
ΔH_f (0 K)   -0.01 eV per atom